Record 1
Density functional theory data (PBE) for crystalline TmAsAu4 at its relaxed geometry.

Geometry as CIF:
```
data_TmAsAu4
_chemical_formula_sum 'Tm1 As1 Au4'
_space_group_name_H-M_alt 'P 1'
_space_group_IT_number 1
_cell_length_a 5.5637
_cell_length_b 5.5637
_cell_length_c 5.5637
_cell_angle_alpha 60.00
_cell_angle_beta 60.00
_cell_angle_gamma 60.00
loop_
_space_group_symop_operation_xyz
'x,y,z'
loop_
_atom_site_label
_atom_site_fract_x
_atom_site_fract_y
_atom_site_fract_z
Au1 0.6251 0.6251 0.6251
Tm1 0.0000 0.0000 0.0000
Au2 0.6251 0.6251 0.1248
As1 0.2500 0.2500 0.2500
Au3 0.1248 0.6251 0.6251
Au4 0.6251 0.1248 0.6251
```

Calculated values
Total energy: -0.2973 Ry/atom
Space group: F-43m
M_tot: 0.00 μB per cell
DOS(E_F): 0.3 states/eV/cell

Record 2
Density functional theory data (PBE) for crystalline Tm2AsAu at its relaxed geometry.

Geometry as CIF:
```
data_Tm2AsAu
_chemical_formula_sum 'Tm2 As1 Au1'
_space_group_name_H-M_alt 'P 1'
_space_group_IT_number 1
_cell_length_a 4.0177
_cell_length_b 4.0177
_cell_length_c 7.3608
_cell_angle_alpha 74.16
_cell_angle_beta 74.16
_cell_angle_gamma 60.00
loop_
_space_group_symop_operation_xyz
'x,y,z'
loop_
_atom_site_label
_atom_site_fract_x
_atom_site_fract_y
_atom_site_fract_z
As1 0.0000 0.0000 0.0000
Tm1 0.7459 0.7459 0.7623
Au1 0.5000 0.5000 0.5000
Tm2 0.2541 0.2541 0.2377
```

Calculated values
Total energy: -0.3874 Ry/atom
Space group: R-3m
M_tot: 0.00 μB per cell
DOS(E_F): 2.9 states/eV/cell

Record 3
Density functional theory data (PBE) for crystalline U2As4Au at its relaxed geometry.

Geometry as CIF:
```
data_U2As4Au
_chemical_formula_sum 'U2 As4 Au1'
_space_group_name_H-M_alt 'P 1'
_space_group_IT_number 1
_cell_length_a 3.9698
_cell_length_b 3.9698
_cell_length_c 9.6121
_cell_angle_alpha 90.00
_cell_angle_beta 90.00
_cell_angle_gamma 90.00
loop_
_space_group_symop_operation_xyz
'x,y,z'
loop_
_atom_site_label
_atom_site_fract_x
_atom_site_fract_y
_atom_site_fract_z
U1 0.5000 0.0000 0.7354
As1 0.0000 0.5000 0.8156
As2 0.0000 0.0000 0.5000
As3 0.5000 0.5000 0.5000
As4 0.5000 0.0000 0.1844
Au1 0.5000 0.5000 0.0000
U2 0.0000 0.5000 0.2646
```

Calculated values
Total energy: -0.5064 Ry/atom
Space group: P-4m2
M_tot: 4.00 μB per cell
DOS(E_F): 9.9 states/eV/cell

Record 4
Density functional theory data (PBE) for crystalline UAsAu at its relaxed geometry.

Geometry as CIF:
```
data_UAsAu
_chemical_formula_sum 'U2 As2 Au2'
_space_group_name_H-M_alt 'P 1'
_space_group_IT_number 1
_cell_length_a 4.7843
_cell_length_b 4.7843
_cell_length_c 8.1695
_cell_angle_alpha 72.97
_cell_angle_beta 72.97
_cell_angle_gamma 60.00
loop_
_space_group_symop_operation_xyz
'x,y,z'
loop_
_atom_site_label
_atom_site_fract_x
_atom_site_fract_y
_atom_site_fract_z
As1 0.3839 0.3839 0.8483
U1 0.7390 0.7390 0.7829
Au1 0.1312 0.1312 0.6063
U2 0.2610 0.2610 0.2171
Au2 0.8688 0.8688 0.3937
As2 0.6161 0.6161 0.1517
```

Calculated values
Total energy: -0.4864 Ry/atom
Space group: R-3m
M_tot: 4.04 μB per cell
DOS(E_F): 13.3 states/eV/cell

Record 5
Density functional theory data (PBE) for crystalline U2AsAu at its relaxed geometry.

Geometry as CIF:
```
data_U2AsAu
_chemical_formula_sum 'U2 As1 Au1'
_space_group_name_H-M_alt 'P 1'
_space_group_IT_number 1
_cell_length_a 2.9410
_cell_length_b 2.9410
_cell_length_c 11.4673
_cell_angle_alpha 82.63
_cell_angle_beta 82.63
_cell_angle_gamma 60.00
loop_
_space_group_symop_operation_xyz
'x,y,z'
loop_
_atom_site_label
_atom_site_fract_x
_atom_site_fract_y
_atom_site_fract_z
Au1 0.0000 0.0000 0.0000
U1 0.9090 0.9090 0.2730
U2 0.0910 0.0910 0.7270
As1 0.5000 0.5000 0.5000
```

Calculated values
Total energy: -0.5457 Ry/atom
Space group: R-3m
M_tot: 4.43 μB per cell
DOS(E_F): 10.9 states/eV/cell

Record 6
Density functional theory data (PBE) for crystalline VAs3Au at its relaxed geometry.

Geometry as CIF:
```
data_VAs3Au
_chemical_formula_sum 'V1 As3 Au1'
_space_group_name_H-M_alt 'P 1'
_space_group_IT_number 1
_cell_length_a 4.7195
_cell_length_b 4.7195
_cell_length_c 4.7195
_cell_angle_alpha 90.00
_cell_angle_beta 90.00
_cell_angle_gamma 90.00
loop_
_space_group_symop_operation_xyz
'x,y,z'
loop_
_atom_site_label
_atom_site_fract_x
_atom_site_fract_y
_atom_site_fract_z
As1 0.0000 0.0000 0.5000
As2 0.0000 0.5000 0.0000
Au1 0.5000 0.5000 0.5000
As3 0.5000 0.0000 0.0000
V1 0.0000 0.0000 0.0000
```

Calculated values
Total energy: -0.3640 Ry/atom
Space group: Pm-3m
Energy relative to the lowest polymorph listed for this composition: 0.000 eV/atom
M_tot: 0.00 μB per cell
DOS(E_F): 3.3 states/eV/cell

- What is the formula in the third record?
  U2As4Au

- M_tot of number 4 (UAsAu)?
  4.04 μB per cell

- Among the records above, which one has the lowest total energy?
  U2AsAu

Repeat the second record exactly.
Density functional theory data (PBE) for crystalline Tm2AsAu at its relaxed geometry.

Geometry as CIF:
```
data_Tm2AsAu
_chemical_formula_sum 'Tm2 As1 Au1'
_space_group_name_H-M_alt 'P 1'
_space_group_IT_number 1
_cell_length_a 4.0177
_cell_length_b 4.0177
_cell_length_c 7.3608
_cell_angle_alpha 74.16
_cell_angle_beta 74.16
_cell_angle_gamma 60.00
loop_
_space_group_symop_operation_xyz
'x,y,z'
loop_
_atom_site_label
_atom_site_fract_x
_atom_site_fract_y
_atom_site_fract_z
As1 0.0000 0.0000 0.0000
Tm1 0.7459 0.7459 0.7623
Au1 0.5000 0.5000 0.5000
Tm2 0.2541 0.2541 0.2377
```

Calculated values
Total energy: -0.3874 Ry/atom
Space group: R-3m
M_tot: 0.00 μB per cell
DOS(E_F): 2.9 states/eV/cell